K2Tl6Ag | Alexandria | PBE | optimized geometry; calculated formation energy = -0.048 eV/atom; SG = C2/m, No. 12; raw total energy = -2.19 eV/atom; crystal system = monoclinic
1.0
5.747 -3.777 0.000
5.747 3.777 0.000
-0.745 0.000 6.720
K Tl Ag
2 6 1
Cartesian
1.827 0.000 2.330 K
8.921 0.000 4.390 K
4.592 2.113 1.268 Tl
6.156 2.113 5.452 Tl
3.416 0.000 5.615 Tl
7.332 0.000 1.105 Tl
4.592 -2.113 1.268 Tl
6.156 -2.113 5.452 Tl
5.374 0.000 3.360 Ag